! LiY2GeO5 GGA-PBE optimized geometry; values from VASP
! total energy = -130.18 eV per cell
! calculated volume = 13.580 Å³ per atom
! N(E_F) = 1.70 states/eV/f.u.
&SYSTEM
  ibrav = 0, nat = 18, ntyp = 4
/
ATOMIC_SPECIES
Li 6.94 Li.upf
O 16.00 O.upf
Y 88.91 Y.upf
Ge 72.64 Ge.upf
CELL_PARAMETERS angstrom
-4.545 2.875 -2.004
-1.979 -5.345 -3.179
-3.458 -1.826 5.224
ATOMIC_POSITIONS crystal
Li 0.000 0.500 0.500
O 0.752 0.139 0.639
Y 0.500 0.823 0.677
O 0.752 0.639 0.861
Ge 0.000 0.500 0.000
O 0.500 0.000 0.000
O 0.500 0.500 0.500
O 0.248 0.639 0.861
O 0.248 0.361 0.139
Y 0.500 0.177 0.323
O 0.248 0.139 0.639
Y 0.500 0.323 0.823
O 0.752 0.361 0.139
Ge 0.000 0.000 0.500
O 0.248 0.861 0.361
Li 0.000 0.000 0.000
Y 0.500 0.677 0.177
O 0.752 0.861 0.361



! LiZnGe2O6 GGA-PBE optimized geometry; values from VASP
! total energy = -114.25 eV per cell
! calculated volume = 11.401 Å³ per atom
! N(E_F) = 2.96 states/eV/f.u.
&SYSTEM
  ibrav = 0, nat = 20, ntyp = 4
/
ATOMIC_SPECIES
O 16.00 O.upf
Ge 72.64 Ge.upf
Li 6.94 Li.upf
Zn 65.41 Zn.upf
CELL_PARAMETERS angstrom
5.220 -0.280 -0.291
1.320 6.536 0.190
1.320 -0.052 6.539
ATOMIC_POSITIONS crystal
O 0.632 0.132 0.623
O 0.132 0.623 0.132
O 0.627 0.801 0.971
Ge 0.797 0.210 0.391
Li 0.250 0.267 0.733
O 0.904 0.705 0.573
Ge 0.703 0.609 0.790
Ge 0.297 0.391 0.210
O 0.368 0.868 0.377
O 0.873 0.029 0.199
Li 0.750 0.733 0.267
Zn 0.250 0.905 0.095
O 0.596 0.427 0.295
O 0.127 0.971 0.801
O 0.404 0.573 0.705
O 0.373 0.199 0.029
O 0.868 0.377 0.868
Ge 0.203 0.790 0.609
O 0.096 0.295 0.427
Zn 0.750 0.095 0.905



! Li10Zn3Ge4O16 GGA-PBE optimized geometry; values from VASP
! total energy = -183.22 eV per cell
! calculated volume = 11.235 Å³ per atom
! N(E_F) = 0.00 states/eV/f.u.
&SYSTEM
  ibrav = 0, nat = 33, ntyp = 4
/
ATOMIC_SPECIES
O 16.00 O.upf
Zn 65.41 Zn.upf
Ge 72.64 Ge.upf
Li 6.94 Li.upf
CELL_PARAMETERS angstrom
5.275 0.024 0.003
-0.018 6.400 0.022
-0.067 -0.004 10.982
ATOMIC_POSITIONS crystal
O 0.288 0.533 0.837
O 0.829 0.754 0.913
Zn 0.321 0.004 0.165
Ge 0.694 0.251 0.588
O 0.204 0.757 0.561
O 0.354 0.257 0.587
O 0.718 0.250 0.929
Li 0.970 0.192 0.810
Li 0.203 0.002 0.658
O 0.704 0.472 0.161
Ge 0.822 0.248 0.083
Li 0.671 0.521 0.836
Li 0.349 0.264 0.933
Li 0.632 0.972 0.834
Ge 0.321 0.746 0.410
O 0.706 0.023 0.162
O 0.161 0.250 0.087
O 0.205 0.521 0.334
Ge 0.161 0.763 0.912
O 0.811 0.475 0.669
O 0.660 0.745 0.413
O 0.209 0.975 0.334
O 0.297 0.750 0.062
Zn 0.818 0.501 0.332
O 0.263 0.997 0.837
O 0.807 0.035 0.673
Li 0.812 0.763 0.581
Li 0.201 0.244 0.422
Zn 0.198 0.505 0.663
O 0.809 0.245 0.437
Li 0.689 0.745 0.073
Li 0.316 0.497 0.164
Li 0.820 0.994 0.334



! LiZn2GeO4 GGA-PBE optimized geometry; values from VASP
! total energy = -40.90 eV per cell
! calculated volume = 12.369 Å³ per atom
! N(E_F) = 0.74 states/eV/f.u.
&SYSTEM
  ibrav = 0, nat = 8, ntyp = 4
/
ATOMIC_SPECIES
O 16.00 O.upf
Li 6.94 Li.upf
Zn 65.41 Zn.upf
Ge 72.64 Ge.upf
CELL_PARAMETERS angstrom
-0.511 1.079 4.514
3.543 -2.842 1.081
1.398 4.326 -3.292
ATOMIC_POSITIONS crystal
O 0.387 0.848 0.234
Li 0.000 0.000 0.000
O 0.152 0.152 0.766
Zn 0.250 0.750 0.500
O 0.848 0.387 0.234
Ge 0.500 0.500 0.000
Zn 0.750 0.250 0.500
O 0.613 0.613 0.766



! LiZnGeO4 GGA-PBE optimized geometry; values from VASP
! total energy = -37.54 eV per cell
! calculated volume = 13.625 Å³ per atom
! N(E_F) = 5.59 states/eV/f.u.
&SYSTEM
  ibrav = 0, nat = 7, ntyp = 4
/
ATOMIC_SPECIES
Ge 72.64 Ge.upf
O 16.00 O.upf
Zn 65.41 Zn.upf
Li 6.94 Li.upf
CELL_PARAMETERS angstrom
-1.179 3.729 -2.308
-2.780 1.213 3.380
5.434 -0.138 1.468
ATOMIC_POSITIONS crystal
Ge 0.500 0.500 0.000
O 0.348 0.807 0.212
O 0.865 0.405 0.212
O 0.193 0.135 0.788
Zn 0.250 0.750 0.500
Li 0.000 0.000 0.000
O 0.595 0.652 0.788



! Li2ZnGeO4 GGA-PBE optimized geometry; values from VASP
! total energy = -44.39 eV per cell
! calculated volume = 11.189 Å³ per atom
! N(E_F) = 0.00 states/eV/f.u.
&SYSTEM
  ibrav = 0, nat = 8, ntyp = 4
/
ATOMIC_SPECIES
O 16.00 O.upf
Zn 65.41 Zn.upf
Li 6.94 Li.upf
Ge 72.64 Ge.upf
CELL_PARAMETERS angstrom
-4.038 0.119 -1.882
1.075 -3.510 -2.527
-0.086 -1.079 5.392
ATOMIC_POSITIONS crystal
O 0.388 0.846 0.234
Zn 0.000 0.000 0.000
Li 0.250 0.750 0.500
O 0.846 0.388 0.234
O 0.612 0.612 0.766
Li 0.750 0.250 0.500
Ge 0.500 0.500 0.000
O 0.154 0.154 0.766



! Li2GeOs GGA-PBE optimized geometry; values from VASP
! calculated volume = 14.524 Å³ per atom
! calculated formation energy = 309.6 meV/atom
! N(E_F) = 0.07 states/eV/f.u.
&SYSTEM
  ibrav = 0, nat = 8, ntyp = 3
/
ATOMIC_SPECIES
Os 190.23 Os.upf
Li 6.94 Li.upf
Ge 72.64 Ge.upf
CELL_PARAMETERS angstrom
6.941 0.000 0.000
0.000 6.941 0.000
3.471 3.471 2.412
ATOMIC_POSITIONS crystal
Os 0.000 0.000 0.000
Li 0.131 0.625 0.250
Li 0.619 0.125 0.250
Os 0.750 0.250 0.500
Li 0.875 0.869 0.750
Li 0.375 0.381 0.750
Ge 0.250 0.750 0.500
Ge 0.500 0.500 0.000



! LiGe2Os GGA-PBE optimized geometry; values from VASP
! calculated volume = 24.762 Å³ per atom
! offset from the most stable computed form = 586 meV/atom
! calculated formation energy = 524.2 meV/atom
! N(E_F) = 2.71 states/eV/f.u.
&SYSTEM
  ibrav = 0, nat = 8, ntyp = 3
/
ATOMIC_SPECIES
Os 190.23 Os.upf
Ge 72.64 Ge.upf
Li 6.94 Li.upf
CELL_PARAMETERS angstrom
6.194 0.000 0.000
0.000 6.194 0.000
3.097 3.097 5.164
ATOMIC_POSITIONS crystal
Os 0.750 0.250 0.500
Ge 0.676 0.125 0.250
Ge 0.074 0.625 0.250
Li 0.500 0.500 0.000
Ge 0.375 0.324 0.750
Ge 0.875 0.926 0.750
Li 0.250 0.750 0.500
Os 0.000 0.000 0.000



! LiGe3Os GGA-PBE optimized geometry; values from VASP
! calculated volume = 22.805 Å³ per atom
! offset from the most stable computed form = 0 meV/atom
! calculated formation energy = 376.3 meV/atom
! N(E_F) = 3.60 states/eV/f.u.
&SYSTEM
  ibrav = 0, nat = 5, ntyp = 3
/
ATOMIC_SPECIES
Ge 72.64 Ge.upf
Os 190.23 Os.upf
Li 6.94 Li.upf
CELL_PARAMETERS angstrom
-1.062 4.686 0.653
-2.461 0.025 -4.178
-4.041 -1.247 2.373
ATOMIC_POSITIONS crystal
Ge 0.000 0.500 0.000
Ge 0.000 0.000 0.500
Ge 0.500 0.000 0.000
Os 0.000 0.000 0.000
Li 0.500 0.500 0.500



! LiGe2Os GGA-PBE optimized geometry; values from VASP
! calculated volume = 16.260 Å³ per atom
! offset from the most stable computed form = 0 meV/atom
! calculated formation energy = -62.0 meV/atom
! N(E_F) = 1.78 states/eV/f.u.
&SYSTEM
  ibrav = 0, nat = 4, ntyp = 3
/
ATOMIC_SPECIES
Os 190.23 Os.upf
Ge 72.64 Ge.upf
Li 6.94 Li.upf
CELL_PARAMETERS angstrom
-1.066 -2.860 -0.028
2.764 -1.038 0.775
-1.682 0.561 6.753
ATOMIC_POSITIONS crystal
Os 0.500 0.500 0.000
Ge 0.000 0.000 0.218
Li 0.500 0.500 0.500
Ge 0.000 0.000 0.782



! Li3GeOs GGA-PBE optimized geometry; values from VASP
! calculated volume = 17.146 Å³ per atom
! offset from the most stable computed form = 19 meV/atom
! calculated formation energy = 1113.3 meV/atom
! N(E_F) = 3.74 states/eV/f.u.
&SYSTEM
  ibrav = 0, nat = 5, ntyp = 3
/
ATOMIC_SPECIES
Li 6.94 Li.upf
Ge 72.64 Ge.upf
Os 190.23 Os.upf
CELL_PARAMETERS angstrom
4.409 0.000 0.000
0.000 4.409 0.000
0.000 0.000 4.409
ATOMIC_POSITIONS crystal
Li 0.000 0.000 0.500
Ge 0.000 0.000 0.000
Os 0.500 0.500 0.500
Li 0.500 0.000 0.000
Li 0.000 0.500 0.000



! LiGe2Os GGA-PBE optimized geometry; values from VASP
! calculated volume = 14.404 Å³ per atom
! offset from the most stable computed form = 5 meV/atom
! calculated formation energy = -57.3 meV/atom
! N(E_F) = 2.10 states/eV/f.u.
&SYSTEM
  ibrav = 0, nat = 4, ntyp = 3
/
ATOMIC_SPECIES
Ge 72.64 Ge.upf
Os 190.23 Os.upf
Li 6.94 Li.upf
CELL_PARAMETERS angstrom
-1.246 -3.763 -1.755
0.345 -3.673 2.277
-3.566 -1.994 1.451
ATOMIC_POSITIONS crystal
Ge 0.250 0.250 0.250
Ge 0.750 0.750 0.750
Os 0.500 0.500 0.500
Li 0.000 0.000 0.000



! LiGe2Os GGA-PBE optimized geometry; values from VASP
! calculated volume = 16.908 Å³ per atom
! offset from the most stable computed form = 44 meV/atom
! calculated formation energy = -18.2 meV/atom
! N(E_F) = 1.49 states/eV/f.u.
&SYSTEM
  ibrav = 0, nat = 4, ntyp = 3
/
ATOMIC_SPECIES
Ge 72.64 Ge.upf
Li 6.94 Li.upf
Os 190.23 Os.upf
CELL_PARAMETERS angstrom
-2.507 -1.038 -3.003
1.114 -2.817 -2.684
-2.372 -4.671 0.867
ATOMIC_POSITIONS crystal
Ge 0.070 0.070 0.791
Li 0.485 0.485 0.544
Ge 0.268 0.268 0.196
Os 0.677 0.677 0.970



! Li3GeOs GGA-PBE optimized geometry; values from VASP
! calculated volume = 19.772 Å³ per atom
! offset from the most stable computed form = 0 meV/atom
! calculated formation energy = 1094.5 meV/atom
! N(E_F) = 4.54 states/eV/f.u.
&SYSTEM
  ibrav = 0, nat = 5, ntyp = 3
/
ATOMIC_SPECIES
Li 6.94 Li.upf
Ge 72.64 Ge.upf
Os 190.23 Os.upf
CELL_PARAMETERS angstrom
-0.858 -2.899 -3.498
3.710 -2.502 1.163
-2.622 -2.591 2.791
ATOMIC_POSITIONS crystal
Li 0.500 0.000 0.000
Ge 0.500 0.500 0.500
Li 0.000 0.000 0.500
Os 0.000 0.000 0.000
Li 0.000 0.500 0.000



! LiGe2Os GGA-PBE optimized geometry; values from VASP
! calculated volume = 16.378 Å³ per atom
! offset from the most stable computed form = 36 meV/atom
! calculated formation energy = -26.0 meV/atom
! N(E_F) = 2.45 states/eV/f.u.
&SYSTEM
  ibrav = 0, nat = 4, ntyp = 3
/
ATOMIC_SPECIES
Li 6.94 Li.upf
Ge 72.64 Ge.upf
Os 190.23 Os.upf
CELL_PARAMETERS angstrom
3.038 0.000 0.000
1.519 2.631 0.000
1.519 0.877 8.196
ATOMIC_POSITIONS crystal
Li 0.500 0.500 0.500
Ge 0.257 0.257 0.229
Os 0.000 0.000 0.000
Ge 0.743 0.743 0.771



! LiGe2Os GGA-PBE optimized geometry; values from VASP
! calculated volume = 17.905 Å³ per atom
! offset from the most stable computed form = 140 meV/atom
! calculated formation energy = 77.6 meV/atom
! N(E_F) = 1.83 states/eV/f.u.
&SYSTEM
  ibrav = 0, nat = 4, ntyp = 3
/
ATOMIC_SPECIES
Ge 72.64 Ge.upf
Li 6.94 Li.upf
Os 190.23 Os.upf
CELL_PARAMETERS angstrom
3.054 0.000 0.000
1.527 2.645 0.000
1.527 0.882 8.869
ATOMIC_POSITIONS crystal
Ge 0.097 0.097 0.710
Li 0.000 0.000 0.000
Os 0.500 0.500 0.500
Ge 0.903 0.903 0.290



! LiPaGeOs GGA-PBE optimized geometry; values from VASP
! calculated volume = 17.463 Å³ per atom
! calculated formation energy = -222.7 meV/atom
! N(E_F) = 1.96 states/eV/f.u.
&SYSTEM
  ibrav = 0, nat = 4, ntyp = 4
/
ATOMIC_SPECIES
Os 190.23 Os.upf
Ge 72.64 Ge.upf
Li 6.94 Li.upf
Pa 231.04 Pa.upf
CELL_PARAMETERS angstrom
-1.616 -4.319 0.321
2.942 -3.549 0.339
0.376 -2.318 3.982
ATOMIC_POSITIONS crystal
Os 0.000 0.000 0.000
Ge 0.250 0.250 0.250
Li 0.500 0.500 0.500
Pa 0.750 0.750 0.750



! LiGe2OsPb GGA-PBE optimized geometry; values from VASP
! calculated volume = 18.656 Å³ per atom
! calculated formation energy = 891.4 meV/atom
! N(E_F) = 3.57 states/eV/f.u.
&SYSTEM
  ibrav = 0, nat = 5, ntyp = 4
/
ATOMIC_SPECIES
Ge 72.64 Ge.upf
Os 190.23 Os.upf
Li 6.94 Li.upf
Pb 207.20 Pb.upf
CELL_PARAMETERS angstrom
-3.220 -2.228 2.253
3.180 -1.858 2.708
-0.404 3.474 2.858
ATOMIC_POSITIONS crystal
Ge 0.000 0.000 0.500
Os 0.000 0.500 0.000
Li 0.000 0.000 0.000
Ge 0.500 0.000 0.000
Pb 0.500 0.500 0.500



! LiPmGeOs GGA-PBE optimized geometry; values from VASP
! calculated volume = 17.804 Å³ per atom
! calculated formation energy = -90.9 meV/atom
! N(E_F) = 4.26 states/eV/f.u.
&SYSTEM
  ibrav = 0, nat = 4, ntyp = 4
/
ATOMIC_SPECIES
Os 190.23 Os.upf
Li 6.94 Li.upf
Ge 72.64 Ge.upf
Pm 145.00 Pm.upf
CELL_PARAMETERS angstrom
-4.638 -0.319 -0.176
-2.169 -3.544 2.093
-2.531 0.757 3.830
ATOMIC_POSITIONS crystal
Os 0.250 0.250 0.250
Li 0.750 0.750 0.750
Ge 0.500 0.500 0.500
Pm 0.000 0.000 0.000



! LiGeOsPt2 GGA-PBE optimized geometry; values from VASP
! calculated volume = 20.010 Å³ per atom
! offset from the most stable computed form = 0 meV/atom
! calculated formation energy = 730.2 meV/atom
! N(E_F) = 3.23 states/eV/f.u.
&SYSTEM
  ibrav = 0, nat = 5, ntyp = 4
/
ATOMIC_SPECIES
Pt 195.08 Pt.upf
Ge 72.64 Ge.upf
Os 190.23 Os.upf
Li 6.94 Li.upf
CELL_PARAMETERS angstrom
4.670 0.000 0.000
0.000 4.588 0.000
0.000 0.000 4.670
ATOMIC_POSITIONS crystal
Pt 0.500 0.000 0.000
Ge 0.000 0.000 0.000
Pt 0.000 0.000 0.500
Os 0.000 0.500 0.000
Li 0.500 0.500 0.500



! LiGeOsPt2 GGA-PBE optimized geometry; values from VASP
! calculated volume = 14.766 Å³ per atom
! offset from the most stable computed form = 73 meV/atom
! calculated formation energy = 802.9 meV/atom
! N(E_F) = 3.45 states/eV/f.u.
&SYSTEM
  ibrav = 0, nat = 5, ntyp = 4
/
ATOMIC_SPECIES
Pt 195.08 Pt.upf
Ge 72.64 Ge.upf
Os 190.23 Os.upf
Li 6.94 Li.upf
CELL_PARAMETERS angstrom
4.149 0.000 0.000
0.000 4.288 0.000
0.000 0.000 4.149
ATOMIC_POSITIONS crystal
Pt 0.000 0.000 0.500
Pt 0.500 0.000 0.000
Ge 0.000 0.500 0.000
Os 0.500 0.500 0.500
Li 0.000 0.000 0.000



! LiPuGeOs GGA-PBE optimized geometry; values from VASP
! calculated volume = 17.036 Å³ per atom
! calculated formation energy = -45.5 meV/atom
! N(E_F) = 10.14 states/eV/f.u.
&SYSTEM
  ibrav = 0, nat = 4, ntyp = 4
/
ATOMIC_SPECIES
Li 6.94 Li.upf
Ge 72.64 Ge.upf
Os 190.23 Os.upf
Pu 244.00 Pu.upf
CELL_PARAMETERS angstrom
4.585 0.000 0.000
2.292 3.971 0.000
2.292 1.324 3.743
ATOMIC_POSITIONS crystal
Li 0.750 0.750 0.750
Ge 0.000 0.000 0.000
Os 0.250 0.250 0.250
Pu 0.500 0.500 0.500



! LiGeOs2Rh GGA-PBE optimized geometry; values from VASP
! calculated volume = 19.102 Å³ per atom
! calculated formation energy = 1278.8 meV/atom
! N(E_F) = 5.40 states/eV/f.u.
&SYSTEM
  ibrav = 0, nat = 5, ntyp = 4
/
ATOMIC_SPECIES
Os 190.23 Os.upf
Li 6.94 Li.upf
Rh 102.91 Rh.upf
Ge 72.64 Ge.upf
CELL_PARAMETERS angstrom
4.572 0.000 0.000
0.000 4.568 0.000
0.000 0.000 4.572
ATOMIC_POSITIONS crystal
Os 0.000 0.000 0.500
Li 0.500 0.500 0.500
Rh 0.000 0.500 0.000
Os 0.500 0.000 0.000
Ge 0.000 0.000 0.000



! LiGeSbOs2 GGA-PBE optimized geometry; values from VASP
! total energy = -24.26 eV per cell
! calculated volume = 25.729 Å³ per atom
! N(E_F) = 4.10 states/eV/f.u.
&SYSTEM
  ibrav = 0, nat = 5, ntyp = 4
/
ATOMIC_SPECIES
Sb 121.76 Sb.upf
Os 190.23 Os.upf
Li 6.94 Li.upf
Ge 72.64 Ge.upf
CELL_PARAMETERS angstrom
4.908 0.000 0.000
0.000 5.341 0.000
0.000 0.000 4.908
ATOMIC_POSITIONS crystal
Sb 0.000 0.000 0.000
Os 0.000 0.000 0.500
Li 0.500 0.500 0.500
Os 0.500 0.000 0.000
Ge 0.000 0.500 0.000



! LiSmGe2Os GGA-PBE optimized geometry; values from VASP
! calculated volume = 18.411 Å³ per atom
! calculated formation energy = -423.9 meV/atom
! N(E_F) = 3.06 states/eV/f.u.
&SYSTEM
  ibrav = 0, nat = 5, ntyp = 4
/
ATOMIC_SPECIES
Sm 150.36 Sm.upf
Ge 72.64 Ge.upf
Li 6.94 Li.upf
Os 190.23 Os.upf
CELL_PARAMETERS angstrom
-3.940 1.412 -0.320
-0.604 -2.445 -3.358
0.634 -3.349 4.948
ATOMIC_POSITIONS crystal
Sm 0.000 0.000 0.000
Ge 0.626 0.626 0.252
Li 0.250 0.750 0.500
Ge 0.374 0.374 0.748
Os 0.750 0.250 0.500